! PmPrPI | Alexandria via LeMat-Bulk | PBE-GGA | optimized geometry; values from VASP
&SYSTEM
  ibrav = 0, nat = 4, ntyp = 4
/
ATOMIC_SPECIES
Pm 145.00 Pm.upf
Pr 140.91 Pr.upf
P 30.97 P.upf
I 126.90 I.upf
CELL_PARAMETERS angstrom
-3.965 0.181 -1.311
1.192 -3.009 2.647
0.467 5.466 6.003
ATOMIC_POSITIONS crystal
Pm 0.098 0.947 0.060
Pr 0.507 0.151 0.673
P 0.308 0.552 0.876
I 0.965 0.380 0.361
! - Energy relative to the elements, uncorrected: -1.375 eV per atom